No. 1
Density functional theory data (PBE) for a geometry-optimized LiScPaS4 structure.

D(E_F)	0.83	states/eV/atom
E	-6.564	eV per atom
symmetry	Imma (74)
E_form (uncorrected)	-1671	meV/atom

a b c (Å): 8.047 7.733 7.550
angles (deg): 119.22 90.00 121.35
Each line ends with the local moment (μB).
Fractional coordinates of all 14 atoms:
1 Li 0.887 0.774 0.137  0.00
2 Li 0.113 0.226 0.863  0.00
3 Sc 0.500 0.000 0.500  0.13
4 Sc 0.500 0.000 0.000  0.13
5 Pa 0.500 0.500 0.500  0.80
6 Pa 0.000 0.500 0.500  0.80
7 S 0.741 0.483 0.733  -0.02
8 S 0.278 0.005 0.253  -0.02
9 S 0.727 0.005 0.253  -0.02
10 S 0.741 0.483 0.250  -0.02
11 S 0.259 0.517 0.750  -0.02
12 S 0.722 0.995 0.747  -0.02
13 S 0.273 0.995 0.747  -0.02
14 S 0.259 0.517 0.267  -0.02

***

No. 2
Density functional theory data (PBE) for a geometry-optimized Hf2MnPt9 structure.

D(E_F)	0.69	states/eV/atom
ΔE_f	-10.4	eV per formula unit
E	-7.824	eV per atom
symmetry	P4/mmm (123)

a b c (Å): 4.005 4.005 11.987
angles (deg): 90.00 90.00 90.00
Each line ends with the local moment (μB).
Fractional coordinates of all 12 atoms:
1 Hf 0.000 0.000 0.328  0.02
2 Hf 0.000 0.000 0.672  0.02
3 Mn 0.000 0.000 0.000  3.97
4 Pt 0.500 0.500 0.000  0.12
5 Pt 0.500 0.500 0.332  0.03
6 Pt 0.500 0.500 0.668  0.03
7 Pt 0.500 0.000 0.164  0.10
8 Pt 0.500 0.000 0.500  0.01
9 Pt 0.500 0.000 0.836  0.10
10 Pt 0.000 0.500 0.164  0.10
11 Pt 0.000 0.500 0.500  0.01
12 Pt 0.000 0.500 0.836  0.10

***

No. 3
Density functional theory data (PBE) for a geometry-optimized Na3Pm2ZrS6 structure.

D(E_F)	0.35	states/eV/atom
E	-5.567	eV per atom
symmetry	C2/m (12)
E_form (uncorrected)	-1670	meV/atom

a b c (Å): 6.856 6.856 7.122
angles (deg): 99.28 99.28 120.01
Fractional coordinates of all 12 atoms:
1 Na 0.168 0.832 0.500
2 Na 0.832 0.168 0.500
3 Na 0.500 0.500 0.500
4 Pm 0.333 0.667 0.000
5 Pm 0.667 0.333 0.000
6 Zr 0.000 0.000 0.000
7 S 0.923 0.609 0.769
8 S 0.763 0.763 0.228
9 S 0.077 0.391 0.231
10 S 0.609 0.923 0.769
11 S 0.237 0.237 0.772
12 S 0.391 0.077 0.231

***

No. 4
Density functional theory data (PBE) for a geometry-optimized Na5BrCl4 structure.

D(E_F)	0.00	states/eV/atom
E	-3.319	eV per atom
symmetry	R-3m (166)
E_form (uncorrected)	-1754	meV/atom

a b c (Å): 16.915 16.915 16.915
angles (deg): 13.81 13.81 13.81
Fractional coordinates of all 10 atoms:
1 Na 0.601 0.601 0.601
2 Na 0.000 0.000 0.000
3 Na 0.399 0.399 0.399
4 Na 0.203 0.203 0.203
5 Na 0.797 0.797 0.797
6 Br 0.500 0.500 0.500
7 Cl 0.098 0.098 0.098
8 Cl 0.699 0.699 0.699
9 Cl 0.301 0.301 0.301
10 Cl 0.902 0.902 0.902

***

No. 5
Density functional theory data (PBE) for a geometry-optimized LaIrAuS2 structure.

D(E_F)	0.79	states/eV/atom
E	-4.446	eV per atom
symmetry	P4/mmm (123)
E_form (uncorrected)	618	meV/atom

a b c (Å): 4.677 5.998 4.677
angles (deg): 90.00 90.00 90.00
Each line ends with the local moment (μB).
Fractional coordinates of all 5 atoms:
1 S 0.000 0.000 0.500  0.14
2 S 0.500 0.000 0.000  0.20
3 Ir 0.500 0.500 0.500  1.24
4 Au 0.000 0.000 0.000  0.02
5 La 0.000 0.500 0.000  -0.06

***

No. 6
Density functional theory data (PBE) for a geometry-optimized Ca4TlZnHg2 structure.

D(E_F)	0.70	states/eV/atom
ΔE_f	-3.6	eV per formula unit
E	-1.978	eV per atom
symmetry	R-3m (166)

a b c (Å): 5.354 5.354 9.318
angles (deg): 73.31 73.31 60.00
Fractional coordinates of all 8 atoms:
1 Ca 0.377 0.377 0.868
2 Ca 0.873 0.873 0.381
3 Ca 0.127 0.127 0.619
4 Ca 0.623 0.623 0.132
5 Tl 0.000 0.000 0.000
6 Zn 0.500 0.500 0.500
7 Hg 0.750 0.750 0.749
8 Hg 0.250 0.250 0.251

***

No. 7
Density functional theory data (PBE) for a geometry-optimized Nb2HPtAu structure.

D(E_F)	0.83	states/eV/atom
E	-6.780	eV per atom
E above lowest polymorph	0.032	eV/atom
symmetry	P4/mmm (123)

a b c (Å): 4.082 4.082 4.265
angles (deg): 90.00 90.00 90.00
Fractional coordinates of all 5 atoms:
1 H 0.000 0.000 0.000
2 Nb 0.000 0.500 0.000
3 Nb 0.500 0.000 0.000
4 Au 0.000 0.000 0.500
5 Pt 0.500 0.500 0.500

***

No. 8
Density functional theory data (PBE) for a geometry-optimized Y3As4Rh4 structure.

D(E_F)	0.43	states/eV/atom
ΔE_f	-11.5	eV per formula unit
E	-7.177	eV per atom
symmetry	Immm (71)

a b c (Å): 4.091 7.144 7.993
angles (deg): 116.54 104.83 90.00
Fractional coordinates of all 11 atoms:
1 Y 0.125 0.125 0.249
2 Y 0.875 0.875 0.751
3 Y 0.000 0.500 0.000
4 As 0.217 0.717 0.434
5 As 0.783 0.283 0.566
6 As 0.500 0.794 0.000
7 As 0.500 0.206 0.000
8 Rh 0.323 0.120 0.645
9 Rh 0.677 0.474 0.355
10 Rh 0.677 0.880 0.355
11 Rh 0.323 0.526 0.645